Entry 1:
Compound: SbSeO
Source: the Alexandria database
Functional: PBE
Structure: relaxed

Cell lengths 3.9561, 4.5636, 7.8897 Å; angles 82.93, 75.63, 89.99 degrees
Fractional coordinates of all 6 atoms:
Sb 0.0000 0.0000 0.0000
Sb 0.3327 0.6715 0.3387
Se 0.6698 0.6857 0.8082
Se 0.8122 0.9863 0.5302
O 0.0147 0.6279 0.1671
O 0.5121 0.0435 0.1715

Output
ΔE_f (raw) = -0.72 eV per atom
electronic total energy = -4.9104 eV per atom



Entry 2:
Compound: SbSe3O
Source: the Alexandria database
Functional: PBE
Structure: relaxed

Cell lengths 5.2900, 5.2900, 5.2900 Å; angles 90.00, 90.00, 90.00 degrees
Fractional coordinates of all 5 atoms:
Sb 0.0000 0.0000 0.0000
Se 0.0000 0.0000 0.5000
Se 0.0000 0.5000 0.0000
Se 0.5000 0.0000 0.0000
O 0.5000 0.5000 0.5000

Output
ΔE_f (raw) = 1.20 eV per atom
electronic total energy = -2.7118 eV per atom



Entry 3:
Compound: SbSeO
Source: the Alexandria database
Functional: PBE
Structure: relaxed

Cell lengths 5.8842, 3.7340, 6.5944 Å; angles 90.00, 111.75, 90.00 degrees
Fractional coordinates of all 6 atoms:
Sb 0.2493 0.2500 0.0262
Sb 0.7507 0.7500 0.9738
Se 0.4620 0.2500 0.6648
Se 0.5380 0.7500 0.3352
O 0.0398 0.7500 0.8736
O 0.9602 0.2500 0.1264

Output
ΔE_f (raw) = -0.58 eV per atom
electronic total energy = -4.7681 eV per atom



Look up the electronic total energy of the second one. -2.7118 eV per atom



Which formula does entry 2 have? SbSe3O